Entry 1:
Here is Ta2PtW after structural relaxation from Alexandria via LeMat-Bulk. Energies are from PBE-GGA.

POSCAR file:
```
Ta2PtW
1.0
2.7721 0.0000 0.0000
0.0000 4.7555 0.0000
-0.5520 0.0000 5.1518
Ta Pt W
2 1 1
direct
0.0000 0.0000 0.0000
0.2223 0.5000 0.6998
0.6094 0.0000 0.5013
0.6460 0.5000 0.1904
```

Values from the calculation:
**Symmetry**: Pm
**Calculated formation energy**: -0.180 eV per atom


Entry 2:
Here is TaPtW after structural relaxation from Alexandria via LeMat-Bulk. Energies are from PBE-GGA.

POSCAR file:
```
TaPtW
1.0
-1.3925 1.9876 4.5162
1.3925 -1.9876 4.5162
1.3925 1.9876 -4.5162
Ta Pt W
1 1 1
direct
0.0000 0.0000 0.0000
0.3309 0.3309 0.0000
0.6658 0.6658 0.0000
```

Values from the calculation:
**Symmetry**: Imm2
**Calculated formation energy**: -0.122 eV per atom
**Distance to the lowest polymorph of the same formula**: 173.3 meV per atom


Entry 3:
Here is TaPtW after structural relaxation from Alexandria via LeMat-Bulk. Energies are from PBE-GGA.

POSCAR file:
```
TaPtW
1.0
0.0000 3.0784 3.0784
3.0784 0.0000 3.0784
3.0784 3.0784 0.0000
Ta Pt W
1 1 1
direct
0.0000 0.0000 0.0000
0.7500 0.7500 0.7500
0.5000 0.5000 0.5000
```

Values from the calculation:
**Symmetry**: F-43m
**Calculated formation energy**: 0.501 eV per atom
**Distance to the lowest polymorph of the same formula**: 796.1 meV per atom


Entry 4:
Here is TaPtW2 after structural relaxation from Alexandria via LeMat-Bulk. Energies are from PBE-GGA.

POSCAR file:
```
TaPtW2
1.0
2.7440 0.0000 0.0000
0.0000 4.1138 0.0000
0.0000 0.0000 5.8490
Ta Pt W
1 1 2
direct
0.0000 0.0000 0.0000
0.5000 0.5000 0.7577
0.0000 0.0000 0.5049
0.5000 0.5000 0.2649
```

Values from the calculation:
**Symmetry**: Pmm2
**Calculated formation energy**: -0.044 eV per atom
**Distance to the lowest polymorph of the same formula**: 119.8 meV per atom


Entry 5:
Here is TaPt2W after structural relaxation from Alexandria via LeMat-Bulk. Energies are from PBE-GGA.

POSCAR file:
```
TaPt2W
1.0
4.7201 -1.4148 0.0000
4.7201 1.4148 0.0000
-0.8654 0.0000 4.8567
Ta Pt W
1 2 1
direct
0.0000 0.0000 0.0000
0.2480 0.2480 0.7465
0.7520 0.7520 0.2535
0.5000 0.5000 0.5000
```

Values from the calculation:
**Symmetry**: C2/m
**Calculated formation energy**: -0.229 eV per atom


Entry 6:
Here is TaPt2W after structural relaxation from Alexandria via LeMat-Bulk. Energies are from PBE-GGA.

POSCAR file:
```
TaPt2W
1.0
2.8118 0.0000 0.0000
0.0000 2.8118 0.0000
0.0000 0.0000 8.2471
Ta Pt W
1 2 1
direct
0.0000 0.0000 0.0000
0.0000 0.0000 0.4985
0.5000 0.5000 0.7597
0.5000 0.5000 0.2692
```

Values from the calculation:
**Symmetry**: P4mm
**Calculated formation energy**: -0.346 eV per atom


Entry 7:
Here is TaPt2W after structural relaxation from Alexandria via LeMat-Bulk. Energies are from PBE-GGA.

POSCAR file:
```
TaPt2W
1.0
2.7869 0.0000 0.0000
0.0000 4.5764 0.0000
0.0000 0.0000 5.0144
Ta Pt W
1 2 1
direct
0.0000 0.0000 0.0000
0.5000 0.0000 0.5048
0.5000 0.5000 0.1673
0.0000 0.5000 0.6583
```

Values from the calculation:
**Symmetry**: Pmm2
**Calculated formation energy**: -0.457 eV per atom


Entry 8:
Here is Ta2PtW after structural relaxation from Alexandria via LeMat-Bulk. Energies are from PBE-GGA.

POSCAR file:
```
Ta2PtW
1.0
-1.7395 2.1999 4.4436
1.7395 -2.1999 4.4436
1.7395 2.1999 -4.4436
Ta Pt W
2 1 1
direct
0.0000 0.0000 0.0000
0.7502 0.2502 0.5000
0.2550 0.7550 0.5000
0.5131 0.5131 0.0000
```

Values from the calculation:
**Symmetry**: Imm2
**Calculated formation energy**: -0.205 eV per atom


Entry 9:
Here is TaPtW2 after structural relaxation from Alexandria via LeMat-Bulk. Energies are from PBE-GGA.

POSCAR file:
```
TaPtW2
1.0
3.3126 0.0000 0.0000
0.0000 3.3126 0.0000
0.0000 0.0000 6.0287
Ta Pt W
1 1 2
direct
0.0000 0.0000 0.0000
0.0000 0.0000 0.5000
0.5000 0.5000 0.2501
0.5000 0.5000 0.7499
```

Values from the calculation:
**Symmetry**: P4/mmm
**Calculated formation energy**: 0.037 eV per atom
**Distance to the lowest polymorph of the same formula**: 200.0 meV per atom


Entry 10:
Here is Ta3PtW after structural relaxation from Alexandria via LeMat-Bulk. Energies are from PBE-GGA.

POSCAR file:
```
Ta3PtW
1.0
4.8045 0.0000 0.0000
0.0000 4.8045 0.0000
0.0000 0.0000 4.8045
Ta Pt W
3 1 1
direct
0.0000 0.0000 0.5000
0.0000 0.5000 0.0000
0.5000 0.0000 0.0000
0.5000 0.5000 0.5000
0.0000 0.0000 0.0000
```

Values from the calculation:
**Symmetry**: Pm-3m
**Calculated formation energy**: 1.545 eV per atom
**Distance to the lowest polymorph of the same formula**: 0.0 meV per atom


Entry 11:
Here is TaPt2W after structural relaxation from Alexandria via LeMat-Bulk. Energies are from PBE-GGA.

POSCAR file:
```
TaPt2W
1.0
3.1697 0.0000 0.0000
0.0000 3.5322 0.0000
0.0000 0.0000 5.8679
Ta Pt W
1 2 1
direct
0.0000 0.0000 0.0000
0.0000 0.0000 0.5021
0.5000 0.5000 0.7694
0.5000 0.5000 0.2820
```

Values from the calculation:
**Symmetry**: Pmm2
**Calculated formation energy**: -0.352 eV per atom


Entry 12:
Here is TaPt2W after structural relaxation from Alexandria via LeMat-Bulk. Energies are from PBE-GGA.

POSCAR file:
```
TaPt2W
1.0
4.6579 -1.4061 0.0000
4.6579 1.4061 0.0000
-0.8545 0.0000 4.9532
Ta Pt W
1 2 1
direct
0.0000 0.0000 0.0000
0.5071 0.5071 0.5008
0.7496 0.7496 0.2179
0.2540 0.2540 0.7024
```

Values from the calculation:
**Symmetry**: Cm
**Calculated formation energy**: -0.374 eV per atom


Entry 13:
Here is Ta2Pt2W after structural relaxation from Alexandria via LeMat-Bulk. Energies are from PBE-GGA.

POSCAR file:
```
Ta2Pt2W
1.0
-1.9476 1.9476 6.0326
1.9476 -1.9476 6.0326
1.9476 1.9476 -6.0326
Ta Pt W
2 2 1
direct
0.2500 0.7500 0.5000
0.7500 0.2500 0.5000
0.1018 0.1018 0.0000
0.8982 0.8982 0.0000
0.5000 0.5000 0.0000
```

Values from the calculation:
**Symmetry**: I4/mmm
**Calculated formation energy**: 0.318 eV per atom
**Distance to the lowest polymorph of the same formula**: 520.0 meV per atom


Entry 14:
Here is TaPt2W after structural relaxation from Alexandria via LeMat-Bulk. Energies are from PBE-GGA.

POSCAR file:
```
TaPt2W
1.0
1.4123 0.8154 9.3754
-1.4123 0.8154 9.3754
0.0000 -1.6307 9.3754
Ta Pt W
1 2 1
direct
0.0000 0.0000 0.0000
0.2493 0.2493 0.2493
0.7507 0.7507 0.7507
0.5000 0.5000 0.5000
```

Values from the calculation:
**Symmetry**: R-3m
**Calculated formation energy**: -0.218 eV per atom


Entry 15:
Here is Ta2PtW after structural relaxation from Alexandria via LeMat-Bulk. Energies are from PBE-GGA.

POSCAR file:
```
Ta2PtW
1.0
0.0000 3.2342 3.2342
3.2342 0.0000 3.2342
3.2342 3.2342 0.0000
Ta Pt W
2 1 1
direct
0.0000 0.0000 0.0000
0.2500 0.2500 0.2500
0.7500 0.7500 0.7500
0.5000 0.5000 0.5000
```

Values from the calculation:
**Symmetry**: F-43m
**Calculated formation energy**: -0.047 eV per atom


Entry 16:
Here is TaPtW2 after structural relaxation from Alexandria via LeMat-Bulk. Energies are from PBE-GGA.

POSCAR file:
```
TaPtW2
1.0
-1.8067 2.1209 4.3078
1.8067 -2.1209 4.3078
1.8067 2.1209 -4.3078
Ta Pt W
1 1 2
direct
0.0000 0.0000 0.0000
0.5000 0.5000 0.0000
0.2417 0.7417 0.5000
0.7583 0.2583 0.5000
```

Values from the calculation:
**Symmetry**: Immm
**Calculated formation energy**: -0.070 eV per atom
**Distance to the lowest polymorph of the same formula**: 93.2 meV per atom


Per-record magnetic moment, μB per cell: 0.000, 0.000, 0.000, 0.000, 0.000, 0.000, 0.000, 0.000, 0.000, 0.000, 0.000, 0.000, 0.000, 0.000, 0.000, 0.000